(1)
First-principles (PBE) data for a geometry-optimized Tb5Pm4Mg structure, as listed in the Alexandria database.

Lattice parameters (Å, degrees): 5.8181 8.1094 8.1094 82.61 68.98 68.98
Fractional coordinates of all 10 atoms:
Pm1 0.4640 0.6821 0.3179
Pm2 0.7819 0.6821 0.6821
Tb1 0.1365 0.6295 0.0000
Pm3 0.4640 0.3179 0.6821
Tb2 0.6642 0.0000 0.0000
Pm4 0.1461 0.3179 0.3179
Mg1 0.1851 0.0000 0.0000
Tb3 0.1365 0.0000 0.6295
Tb4 0.7660 0.0000 0.3705
Tb5 0.7660 0.3705 0.0000

Calculated values
**Energy of formation from the pure elements**: 0.180 eV per atom
**DFT total energy**: -41.9 eV per formula unit
**M_tot**: 0.00 μB/f.u.

***

(2)
First-principles (PBE) data for a geometry-optimized Tb3Pm2Mg4 structure, as listed in the Alexandria database.

Lattice parameters (Å, degrees): 5.7673 9.8531 9.8531 71.13 96.66 96.66
Fractional coordinates of all 18 atoms:
Pm1 0.3437 0.8309 0.6108
Tb1 0.3977 0.7266 0.9658
Mg1 0.7992 0.7487 0.4732
Mg2 0.4572 0.0785 0.8164
Pm2 0.1563 0.3892 0.1691
Mg3 0.0428 0.1836 0.9215
Mg4 0.2992 0.4732 0.7487
Mg5 0.7008 0.5268 0.2513
Tb2 0.1023 0.0342 0.2734
Tb3 0.8977 0.9658 0.7266
Mg6 0.5428 0.9215 0.1836
Tb4 0.2500 0.6187 0.3813
Mg7 0.2008 0.2513 0.5268
Tb5 0.7500 0.3813 0.6187
Tb6 0.6023 0.2734 0.0342
Pm3 0.8437 0.6108 0.8309
Pm4 0.6563 0.1691 0.3892
Mg8 0.9572 0.8164 0.0785

Calculated values
**Energy of formation from the pure elements**: 0.037 eV per atom
**DFT total energy**: -29.4 eV per formula unit
**M_tot**: 0.00 μB/f.u.

***

(3)
First-principles (PBE) data for a geometry-optimized TbPm2Mg2 structure, as listed in the Alexandria database.

Lattice parameters (Å, degrees): 3.8188 5.4902 14.2304 90.00 97.75 90.00
Fractional coordinates of all 10 atoms:
Pm1 0.2361 0.7500 0.4739
Mg1 0.3607 0.2500 0.7200
Mg2 0.6394 0.7500 0.2800
Mg3 0.5530 0.2500 0.1079
Pm2 0.7639 0.2500 0.5261
Pm3 0.9554 0.2500 0.9106
Tb1 0.8503 0.7500 0.7005
Mg4 0.4470 0.7500 0.8921
Pm4 0.0446 0.7500 0.0894
Tb2 0.1497 0.2500 0.2995

Calculated values
**Energy of formation from the pure elements**: -0.072 eV per atom
**DFT total energy**: -17.7 eV per formula unit
**M_tot**: 0.00 μB/f.u.

***

(4)
First-principles (PBE) data for a geometry-optimized TbPm4Mg structure, as listed in the Alexandria database.

Lattice parameters (Å, degrees): 5.6934 6.2533 6.2484 60.19 90.00 90.00
Fractional coordinates of all 6 atoms:
Pm1 0.0012 0.2463 0.9155
Pm2 0.0012 0.5805 0.2491
Tb1 0.5012 0.5943 0.9009
Pm3 0.5013 0.9175 0.2609
Mg1 0.0017 0.9108 0.5853
Pm4 0.5012 0.2344 0.5771

Calculated values
**Energy of formation from the pure elements**: 0.026 eV per atom
**DFT total energy**: -25.1 eV per formula unit
**M_tot**: 0.00 μB/f.u.

***

(5)
First-principles (PBE) data for a geometry-optimized Tb2Pm12Mg structure, as listed in the Alexandria database.

Lattice parameters (Å, degrees): 6.6248 6.6248 24.3014 90.00 90.00 90.00
Fractional coordinates of all 30 atoms:
Pm1 0.3330 0.8330 0.4358
Pm2 0.7388 0.2388 0.9004
Pm3 0.7612 0.2612 0.0996
Pm4 0.5000 0.5000 0.2030
Tb1 0.5000 0.0000 0.7557
Mg1 0.0000 0.5000 0.0000
Pm5 0.2612 0.2388 0.0996
Pm6 0.5000 0.5000 0.7970
Pm7 0.0000 0.0000 0.6715
Pm8 0.3330 0.1670 0.5642
Tb2 0.5000 0.0000 0.2443
Pm9 0.8330 0.3330 0.5642
Pm10 0.2612 0.7612 0.9004
Pm11 0.1670 0.6670 0.5642
Tb3 0.0000 0.5000 0.2443
Pm12 0.1670 0.3330 0.4358
Pm13 0.5000 0.5000 0.3285
Pm14 0.0000 0.0000 0.3285
Pm15 0.2388 0.2612 0.9004
Mg2 0.5000 0.0000 0.0000
Pm16 0.0000 0.0000 0.7970
Pm17 0.6670 0.1670 0.4358
Pm18 0.0000 0.0000 0.2030
Pm19 0.6670 0.8330 0.5642
Pm20 0.5000 0.5000 0.6715
Pm21 0.7388 0.7612 0.0996
Pm22 0.7612 0.7388 0.9004
Tb4 0.0000 0.5000 0.7557
Pm23 0.8330 0.6670 0.4358
Pm24 0.2388 0.7388 0.0996

Calculated values
**Energy of formation from the pure elements**: 0.301 eV per atom
**DFT total energy**: -63.3 eV per formula unit
**M_tot**: 0.00 μB/f.u.

***

(6)
First-principles (PBE) data for a geometry-optimized TbPm2Mg9 structure, as listed in the Alexandria database.

Lattice parameters (Å, degrees): 6.0638 6.0638 10.4227 73.09 73.09 60.00
Fractional coordinates of all 12 atoms:
Mg1 0.6660 0.6660 0.0019
Pm1 0.8582 0.8582 0.4255
Mg2 0.4151 0.4151 0.2494
Mg3 0.5849 0.5849 0.7506
Mg4 0.4151 0.9204 0.2494
Mg5 0.0796 0.5849 0.7506
Mg6 0.3340 0.3340 0.9981
Mg7 0.9204 0.4151 0.2494
Mg8 0.5849 0.0796 0.7506
Tb1 0.0000 0.0000 0.0000
Mg9 0.5000 0.5000 0.5000
Pm2 0.1418 0.1418 0.5745

Calculated values
**Energy of formation from the pure elements**: -0.046 eV per atom
**DFT total energy**: -29.0 eV per formula unit
**M_tot**: 0.00 μB/f.u.

***

(7)
First-principles (PBE) data for a geometry-optimized Tb4Pm15Mg structure, as listed in the Alexandria database.

Lattice parameters (Å, degrees): 5.1042 5.1042 25.5986 90.00 90.00 90.00
Fractional coordinates of all 20 atoms:
Pm1 0.5000 0.0000 0.2985
Pm2 0.0000 0.5000 0.5000
Tb1 0.0000 0.0000 0.6007
Pm3 0.5000 0.5000 0.6012
Pm4 0.5000 0.0000 0.7015
Pm5 0.0000 0.5000 0.2985
Pm6 0.0000 0.5000 0.9021
Pm7 0.5000 0.5000 0.8033
Pm8 0.5000 0.0000 0.5000
Pm9 0.5000 0.5000 0.3988
Pm10 0.0000 0.5000 0.0979
Pm11 0.5000 0.0000 0.9021
Tb2 0.0000 0.0000 0.3993
Pm12 0.5000 0.5000 0.0000
Mg1 0.0000 0.0000 0.0000
Pm13 0.5000 0.0000 0.0979
Tb3 0.0000 0.0000 0.8026
Tb4 0.0000 0.0000 0.1974
Pm14 0.0000 0.5000 0.7015
Pm15 0.5000 0.5000 0.1967

Calculated values
**Energy of formation from the pure elements**: 0.011 eV per atom
**DFT total energy**: -91.2 eV per formula unit
**M_tot**: 0.00 μB/f.u.

***

(8)
First-principles (PBE) data for a geometry-optimized TbPm2Mg structure, as listed in the Alexandria database.

Lattice parameters (Å, degrees): 4.9215 5.0111 5.0111 90.00 90.00 90.00
Fractional coordinates of all 4 atoms:
Mg1 0.5000 0.5000 0.5000
Tb1 0.5000 0.0000 0.0000
Pm1 0.0000 0.5000 0.0000
Pm2 0.0000 0.0000 0.5000

Calculated values
**Energy of formation from the pure elements**: 0.008 eV per atom
**DFT total energy**: -15.7 eV per formula unit
**M_tot**: 0.00 μB/f.u.

***

> Look up the DFT total energy of the fifth one.

-63.3 eV per formula unit